(1)
{"formula": "KTbGeO4", "functional": "PBE", "state": "relaxed", "formation_energy_uncorrected_kcal_per_mol_atoms": -54.91, "density_g_cm3": 4.60, "magmom_total_mub_per_cell": 0.00, "crystal_system": "monoclinic", "dft_energy_ev_per_fu": -46.85, "sg": "P2_1/m, No. 11", "cell": [[5.780, 0.000, 0.000], [0.000, 5.891, 0.000], [-2.202, 0.000, 7.100]], "species": ["K", "K", "Tb", "Tb", "Ge", "Ge", "O", "O", "O", "O", "O", "O", "O", "O"], "frac_coords": [[0.182, 0.250, 0.428], [0.818, 0.750, 0.572], [0.297, 0.250, 0.960], [0.703, 0.750, 0.040], [0.242, 0.750, 0.164], [0.758, 0.250, 0.836], [0.037, 0.750, 0.933], [0.047, 0.750, 0.307], [0.454, 0.522, 0.181], [0.454, 0.978, 0.181], [0.546, 0.022, 0.819], [0.546, 0.478, 0.819], [0.953, 0.250, 0.693], [0.963, 0.250, 0.067]]}



(2)
{"formula": "K2Tb2GeO6", "functional": "PBE", "state": "relaxed", "formation_energy_uncorrected_kcal_per_mol_atoms": -55.44, "density_g_cm3": 5.14, "magmom_total_mub_per_cell": 0.00, "crystal_system": "monoclinic", "dft_energy_ev_per_fu": -72.27, "sg": "C2/m, No. 12", "cell": [[2.889, -4.952, 0.000], [2.889, 4.952, 0.000], [-1.709, 0.000, 6.376]], "species": ["K", "K", "Tb", "Tb", "Ge", "O", "O", "O", "O", "O", "O"], "frac_coords": [[0.160, 0.840, 0.000], [0.840, 0.160, 0.000], [0.334, 0.666, 0.500], [0.666, 0.334, 0.500], [0.000, 0.000, 0.500], [0.047, 0.346, 0.669], [0.233, 0.233, 0.332], [0.346, 0.047, 0.669], [0.654, 0.953, 0.331], [0.767, 0.767, 0.668], [0.953, 0.654, 0.331]]}



(3)
{"formula": "KTcGeO6", "functional": "PBE", "state": "relaxed", "formation_energy_uncorrected_kcal_per_mol_atoms": -33.36, "density_g_cm3": 3.68, "magmom_total_mub_per_cell": 0.00, "crystal_system": "trigonal", "dft_energy_ev_per_fu": -58.85, "sg": "P3, No. 143", "cell": [[5.163, 0.000, 0.000], [-2.582, 4.472, 0.000], [0.000, 0.000, 5.977]], "species": ["K", "Tc", "Ge", "O", "O", "O", "O", "O", "O"], "frac_coords": [[0.000, 0.000, 0.000], [0.333, 0.667, 0.514], [0.667, 0.333, 0.444], [0.014, 0.414, 0.297], [0.394, 0.389, 0.659], [0.401, 0.986, 0.297], [0.586, 0.599, 0.297], [0.611, 0.005, 0.659], [0.995, 0.606, 0.659]]}



(4)
{"formula": "KGeTe2O8", "functional": "PBE", "state": "relaxed", "formation_energy_uncorrected_kcal_per_mol_atoms": -22.14, "density_g_cm3": 5.19, "magmom_total_mub_per_cell": 0.00, "crystal_system": "orthorhombic", "dft_energy_ev_per_fu": -63.18, "sg": "Cmmm, No. 65", "cell": [[3.257, -3.691, 0.000], [3.257, 3.691, 0.000], [0.000, 0.000, 6.587]], "species": ["K", "Ge", "Te", "Te", "O", "O", "O", "O", "O", "O", "O", "O"], "frac_coords": [[0.000, 0.000, 0.000], [0.000, 0.000, 0.500], [0.500, 0.500, 0.258], [0.500, 0.500, 0.742], [0.201, 0.201, 0.297], [0.201, 0.201, 0.703], [0.312, 0.688, 0.500], [0.337, 0.663, 0.000], [0.663, 0.337, 0.000], [0.688, 0.312, 0.500], [0.799, 0.799, 0.297], [0.799, 0.799, 0.703]]}



(5)
{"formula": "KThGeO5", "functional": "PBE", "state": "relaxed", "formation_energy_uncorrected_kcal_per_mol_atoms": -52.62, "density_g_cm3": 4.88, "magmom_total_mub_per_cell": 0.98, "crystal_system": "monoclinic", "dft_energy_ev_per_fu": -56.18, "sg": "C2/c, No. 15", "cell": [[3.783, -4.995, 0.000], [3.783, 4.995, 0.000], [-3.383, 0.000, 7.635]], "species": ["K", "K", "Th", "Th", "Ge", "Ge", "O", "O", "O", "O", "O", "O", "O", "O", "O", "O"], "frac_coords": [[0.167, 0.833, 0.750], [0.833, 0.167, 0.250], [0.500, 0.500, 0.000], [0.500, 0.500, 0.500], [0.183, 0.817, 0.250], [0.817, 0.183, 0.750], [0.109, 0.258, 0.892], [0.199, 0.623, 0.374], [0.258, 0.109, 0.392], [0.377, 0.801, 0.126], [0.435, 0.565, 0.750], [0.565, 0.435, 0.250], [0.623, 0.199, 0.874], [0.742, 0.891, 0.608], [0.801, 0.377, 0.626], [0.891, 0.742, 0.108]]}



(6)
{"formula": "KTi2GeO6", "functional": "PBE", "state": "relaxed", "formation_energy_uncorrected_kcal_per_mol_atoms": -56.06, "density_g_cm3": 3.23, "magmom_total_mub_per_cell": 0.00, "crystal_system": "monoclinic", "dft_energy_ev_per_fu": -75.56, "sg": "C2/c, No. 15", "cell": [[4.476, -5.992, 0.000], [4.476, 5.992, 0.000], [-2.340, 0.000, 5.809]], "species": ["K", "K", "Ti", "Ti", "Ti", "Ti", "Ge", "Ge", "O", "O", "O", "O", "O", "O", "O", "O", "O", "O", "O", "O"], "frac_coords": [[0.098, 0.902, 0.750], [0.902, 0.098, 0.250], [0.297, 0.458, 0.853], [0.458, 0.297, 0.353], [0.542, 0.703, 0.647], [0.703, 0.542, 0.147], [0.200, 0.800, 0.250], [0.800, 0.200, 0.750], [0.038, 0.256, 0.723], [0.211, 0.652, 0.993], [0.256, 0.038, 0.223], [0.339, 0.411, 0.552], [0.348, 0.789, 0.507], [0.411, 0.339, 0.052], [0.589, 0.661, 0.948], [0.652, 0.211, 0.493], [0.661, 0.589, 0.448], [0.744, 0.962, 0.777], [0.789, 0.348, 0.007], [0.962, 0.744, 0.277]]}